(1)
Below is an optimized crystal structure of YZr2Al6, with properties calculated at the PBE level.

```
YZr2Al6
1.0
4.2433 0.0000 0.0000
2.1216 7.2550 1.5394
2.1216 2.9411 6.8084
Y Zr Al
1 2 6
direct
0.0000 0.0000 0.0000
0.8826 0.6174 0.6174
0.1174 0.3826 0.3826
0.6904 0.0156 0.6037
0.3096 0.9844 0.3963
0.3096 0.3963 0.9844
0.5000 0.6866 0.3134
0.5000 0.3134 0.6866
0.6904 0.6037 0.0156
```

Properties
The space group is No. 71. The energy relative to the elements is -0.298 eV/atom. Its total energy is -48.70 eV per cell.


(2)
Below is an optimized crystal structure of YZr5Al3, with properties calculated at the PBE level.

```
YZr5Al3
1.0
-4.9531 -1.8736 -2.8806
-1.9454 -5.0751 6.6461
-2.9162 8.0714 -0.2356
Y Zr Al
2 10 6
direct
0.0000 0.0000 0.0000
0.5000 0.0000 0.0000
0.0000 0.6667 0.3333
0.5000 0.3333 0.6667
0.0000 0.3333 0.6667
0.5000 0.6667 0.3333
0.7500 0.6624 0.6624
0.7500 0.0000 0.3376
0.7500 0.3376 0.0000
0.2500 0.3376 0.3376
0.2500 0.0000 0.6624
0.2500 0.6624 0.0000
0.7500 0.3372 0.3372
0.7500 0.0000 0.6628
0.7500 0.6628 0.0000
0.2500 0.6628 0.6628
0.2500 0.0000 0.3372
0.2500 0.3372 0.0000
```

Properties
The space group is No. 193. The energy relative to the elements is -0.308 eV/atom. Its total energy is -126.41 eV per cell.


(3)
Below is an optimized crystal structure of YZr2Al, with properties calculated at the PBE level.

```
YZr2Al
1.0
-1.3100 -2.0918 -2.1337
3.5300 -0.2034 -1.9679
1.9668 -5.3997 4.0861
Y Al Zr
1 1 2
direct
0.5000 0.5000 0.7334
0.0000 0.0000 0.4731
0.0000 0.0000 0.0272
0.5000 0.5000 0.2663
```

Properties
The space group is No. 25. The energy relative to the elements is -0.152 eV/atom. Its total energy is -27.91 eV per cell.


(4)
Below is an optimized crystal structure of YZr2Al, with properties calculated at the PBE level.

```
YZr2Al
1.0
3.3607 0.0000 0.0000
0.0000 5.2026 0.0000
0.0000 0.0000 5.3187
Y Al Zr
1 1 2
direct
0.0000 0.5000 0.5000
0.5000 0.0000 0.5000
0.0000 0.0000 0.0000
0.5000 0.5000 0.0000
```

Properties
The space group is No. 47. The energy relative to the elements is -0.051 eV/atom. Its total energy is -27.51 eV per cell.


(5)
Below is an optimized crystal structure of YZr2Al, with properties calculated at the PBE level.

```
YZr2Al
1.0
-4.4643 -0.1367 3.3368
-3.2143 -4.4204 -1.1008
5.4581 0.5795 0.9782
Y Al Zr
1 1 2
direct
0.7500 0.2500 0.5000
0.5000 0.5000 0.0000
0.0000 0.0000 0.0000
0.2500 0.7500 0.5000
```

Properties
The space group is No. 119. The energy relative to the elements is -0.162 eV/atom. Its total energy is -27.95 eV per cell.


(6)
Below is an optimized crystal structure of YZr2Al, with properties calculated at the PBE level.

```
YZr2Al
1.0
-2.9129 -0.7664 5.0125
0.2234 -0.9722 5.7621
-0.2108 4.8490 2.2126
Y Al Zr
1 1 2
direct
0.2500 0.2500 0.2500
0.7500 0.7500 0.7500
0.0241 0.0241 0.9785
0.4759 0.4759 0.5215
```

Properties
The space group is No. 12. The energy relative to the elements is -0.140 eV/atom. Its total energy is -27.86 eV per cell.


(7)
Below is an optimized crystal structure of YZr3Al8, with properties calculated at the PBE level.

```
YZr3Al8
1.0
-0.3323 3.9648 3.5761
-4.4443 -1.9583 -2.2431
-0.6785 -5.9718 6.5578
Y Zr Al
1 3 8
direct
0.0000 0.0000 0.5653
0.6667 0.3333 0.4269
0.6667 0.3333 0.0661
0.0000 0.0000 0.9364
0.3333 0.6667 0.4991
0.3333 0.6667 0.0014
0.5041 0.0082 0.7557
0.5041 0.4959 0.7557
0.9918 0.4959 0.7557
0.1628 0.3257 0.2459
0.1628 0.8372 0.2459
0.6743 0.8372 0.2459
```

Properties
The space group is No. 156. The energy relative to the elements is -0.519 eV/atom. Its total energy is -68.28 eV per cell.


(8)
Below is an optimized crystal structure of YZr2Al9, with properties calculated at the PBE level.

```
YZr2Al9
1.0
-3.8392 3.7033 0.6797
-5.1693 -1.4766 0.1179
-2.4985 -0.3298 8.9555
Y Zr Al
1 2 9
direct
0.0000 0.0000 0.0000
0.8558 0.8558 0.4327
0.1442 0.1442 0.5673
0.6659 0.6659 0.0023
0.3341 0.3341 0.9977
0.5000 0.5000 0.5000
0.4102 0.4102 0.2599
0.9197 0.4102 0.2599
0.4102 0.9197 0.2599
0.5898 0.5898 0.7401
0.5898 0.0803 0.7401
0.0803 0.5898 0.7401
```

Properties
The space group is No. 166. The energy relative to the elements is -0.332 eV/atom. Its total energy is -61.22 eV per cell.


(9)
Below is an optimized crystal structure of YZrAl, with properties calculated at the PBE level.

```
YZrAl
1.0
-1.2758 1.7516 -2.2307
-6.2142 -5.2532 -0.5709
-5.4869 5.6660 7.5873
Zr Al Y
4 4 4
direct
0.5000 0.8638 0.0565
0.5000 0.2331 0.3724
0.5000 0.3638 0.9435
0.5000 0.7331 0.6276
0.0000 0.1672 0.1356
0.0000 0.0363 0.5567
0.0000 0.5363 0.4433
0.0000 0.6672 0.8644
0.5000 0.8584 0.3446
0.5000 0.5153 0.1890
0.5000 0.0153 0.8110
0.5000 0.3584 0.6554
```

Properties
The space group is No. 26. The energy relative to the elements is -0.069 eV/atom. Its total energy is -75.84 eV per cell.


(10)
Below is an optimized crystal structure of YZr2Al, with properties calculated at the PBE level.

```
YZr2Al
1.0
-4.4103 -1.1685 3.1980
-4.0890 -2.3434 -2.9719
5.4414 -1.0889 0.4985
Y Al Zr
1 1 2
direct
0.2500 0.7500 0.5000
0.7500 0.2500 0.5000
0.9997 0.9997 0.0000
0.5003 0.5003 0.0000
```

Properties
The space group is No. 71. The energy relative to the elements is -0.164 eV/atom. Its total energy is -27.96 eV per cell.


(11)
Below is an optimized crystal structure of YZr2Al, with properties calculated at the PBE level.

```
YZr2Al
1.0
3.2178 0.0000 0.0000
0.0000 3.2178 0.0000
0.0000 0.0000 9.0506
Y Al Zr
1 1 2
direct
0.5000 0.5000 0.7251
0.0000 0.0000 0.4856
0.0000 0.0000 0.0208
0.5000 0.5000 0.2684
```

Properties
The space group is No. 99. The energy relative to the elements is -0.156 eV/atom. Its total energy is -27.92 eV per cell.


(12)
Below is an optimized crystal structure of YZrAl, with properties calculated at the PBE level.

```
YZrAl
1.0
4.8386 0.0000 0.0000
2.4193 4.1904 0.0000
2.4193 1.3968 3.9507
Y Al Zr
1 1 1
direct
0.0000 0.0000 0.0000
0.7500 0.7500 0.7500
0.5000 0.5000 0.5000
```

Properties
The space group is No. 216. The energy relative to the elements is 0.106 eV/atom. Its total energy is -18.44 eV per cell.


(13)
Below is an optimized crystal structure of Y2Zr2Al, with properties calculated at the PBE level.

```
Y2Zr2Al
1.0
-1.2504 -6.8612 -2.6303
6.2511 -2.3957 3.2776
-2.4289 -1.0414 3.8712
Y Al Zr
4 2 4
direct
0.1621 0.6621 0.5000
0.6621 0.8379 0.5000
0.8379 0.3379 0.5000
0.3379 0.1621 0.5000
0.0000 0.0000 0.0000
0.5000 0.5000 0.0000
0.3587 0.8587 0.0000
0.8587 0.6413 0.0000
0.6413 0.1413 0.0000
0.1413 0.3587 0.0000
```

Properties
The space group is No. 127. The energy relative to the elements is 0.029 eV/atom. Its total energy is -67.24 eV per cell.